No. 1
PBE-GGA Th3Pb4, optimized geometry; DFT formation energy = -0.272 eV per atom; crystal system = monoclinic; density of states at the Fermi level = 8.3 states/eV/cell
1.0
-2.611 1.062 -3.515
4.335 -4.391 -1.659
-10.511 -11.957 4.196
Pb Th
8 6
Direct
0.828 0.656 0.750
0.365 0.731 0.106
0.001 0.002 0.000
0.174 0.348 0.250
0.001 0.002 0.500
0.637 0.275 0.606
0.637 0.275 0.894
0.365 0.730 0.394
0.348 0.697 0.899
0.654 0.308 0.101
0.348 0.697 0.602
0.911 0.821 0.250
0.092 0.184 0.750
0.654 0.308 0.399

***

No. 2
PBE-GGA Th3Pb2, optimized geometry; DFT formation energy = -0.041 eV per atom; crystal system = orthorhombic; density of states at the Fermi level = 9.7 states/eV/cell
1.0
-1.276 5.888 -2.041
-6.329 -2.952 -4.558
-0.030 -0.640 8.085
Pb Th
4 6
Direct
0.063 0.398 0.126
0.437 0.272 0.874
0.563 0.728 0.126
0.937 0.602 0.874
0.788 0.133 0.575
0.712 0.558 0.425
0.288 0.442 0.575
0.212 0.867 0.425
0.750 0.000 0.000
0.250 0.000 0.000

***

No. 3
PBE-GGA Th3Pb5, optimized geometry; DFT formation energy = -0.230 eV per atom; crystal system = orthorhombic; density of states at the Fermi level = 5.0 states/eV/cell
1.0
4.934 0.000 0.000
0.000 6.950 -0.786
0.000 0.100 6.994
Pb Th
5 3
Direct
0.500 0.733 0.733
0.000 0.000 0.500
0.000 0.000 0.000
0.500 0.267 0.267
0.000 0.500 0.000
0.000 0.500 0.500
0.500 0.225 0.775
0.500 0.775 0.225

***

No. 4
PBE-GGA Th3Pb2, optimized geometry; DFT formation energy = -0.145 eV per atom; crystal system = tetragonal; density of states at the Fermi level = 10.0 states/eV/cell
1.0
-4.202 1.406 4.484
-1.254 -6.133 0.748
8.596 1.854 3.042
Pb Th
4 6
Direct
0.703 0.203 0.407
0.311 0.811 0.623
0.561 0.561 0.123
0.953 0.953 0.907
0.757 0.757 0.515
0.132 0.382 0.265
0.132 0.882 0.265
0.507 0.007 0.015
0.132 0.382 0.765
0.632 0.382 0.765

***

No. 5
PBE-GGA ThPb6, optimized geometry; DFT formation energy = 0.842 eV per atom; crystal system = cubic; density of states at the Fermi level = 11.3 states/eV/cell
1.0
-4.131 -5.877 1.441
5.978 -0.119 4.236
-3.845 6.084 1.372
Pb Th
6 1
Direct
0.750 0.500 0.250
0.750 0.250 0.500
0.500 0.250 0.750
0.250 0.500 0.750
0.250 0.750 0.500
0.500 0.750 0.250
0.000 0.000 0.000

***

No. 6
PBE-GGA ThPb2, optimized geometry; DFT formation energy = 0.046 eV per atom; crystal system = cubic; density of states at the Fermi level = 5.7 states/eV/cell
1.0
-4.129 -1.046 -4.770
-0.156 -5.696 -2.903
-4.987 -3.904 0.886
Th Pb
2 4
Direct
0.000 0.000 0.000
0.250 0.250 0.250
0.625 0.625 0.625
0.625 0.125 0.625
0.625 0.625 0.125
0.125 0.625 0.625

***

The lowest density of states at the Fermi level belongs to which entry? Th3Pb5

***

Please write out number 1 again, unchanged.
PBE-GGA Th3Pb4, optimized geometry; DFT formation energy = -0.272 eV per atom; crystal system = monoclinic; density of states at the Fermi level = 8.3 states/eV/cell
1.0
-2.611 1.062 -3.515
4.335 -4.391 -1.659
-10.511 -11.957 4.196
Pb Th
8 6
Direct
0.828 0.656 0.750
0.365 0.731 0.106
0.001 0.002 0.000
0.174 0.348 0.250
0.001 0.002 0.500
0.637 0.275 0.606
0.637 0.275 0.894
0.365 0.730 0.394
0.348 0.697 0.899
0.654 0.308 0.101
0.348 0.697 0.602
0.911 0.821 0.250
0.092 0.184 0.750
0.654 0.308 0.399

***

Please write out number 1 again, unchanged.
PBE-GGA Th3Pb4, optimized geometry; DFT formation energy = -0.272 eV per atom; crystal system = monoclinic; density of states at the Fermi level = 8.3 states/eV/cell
1.0
-2.611 1.062 -3.515
4.335 -4.391 -1.659
-10.511 -11.957 4.196
Pb Th
8 6
Direct
0.828 0.656 0.750
0.365 0.731 0.106
0.001 0.002 0.000
0.174 0.348 0.250
0.001 0.002 0.500
0.637 0.275 0.606
0.637 0.275 0.894
0.365 0.730 0.394
0.348 0.697 0.899
0.654 0.308 0.101
0.348 0.697 0.602
0.911 0.821 0.250
0.092 0.184 0.750
0.654 0.308 0.399

***

Please write out number 6 again, unchanged.
PBE-GGA ThPb2, optimized geometry; DFT formation energy = 0.046 eV per atom; crystal system = cubic; density of states at the Fermi level = 5.7 states/eV/cell
1.0
-4.129 -1.046 -4.770
-0.156 -5.696 -2.903
-4.987 -3.904 0.886
Th Pb
2 4
Direct
0.000 0.000 0.000
0.250 0.250 0.250
0.625 0.625 0.625
0.625 0.125 0.625
0.625 0.625 0.125
0.125 0.625 0.625